{
  "formula": "BaPrAu3",
  "functional": "GGA-PBE",
  "state": "optimized geometry",
  "dos_ef_per_ev_fu": 2.44,
  "formation_enthalpy_0k_ev_per_atom": -0.75,
  "spacegroup": "Cmcm",
  "cell": [[2.0618, -14.5677, 0.0000], [2.0618, 14.5677, 0.0000], [0.0000, 0.0000, 4.7432]],
  "species": ["Ba", "Ba", "Pr", "Pr", "Au", "Au", "Au", "Au", "Au", "Au"],
  "frac_coords": [[0.0743, 0.9257, 0.7500], [0.9257, 0.0743, 0.2500], [0.2049, 0.7951, 0.2500], [0.7951, 0.2049, 0.7500], [0.3116, 0.6884, 0.2500], [0.3748, 0.6252, 0.7500], [0.4729, 0.5271, 0.7500], [0.5271, 0.4729, 0.2500], [0.6252, 0.3748, 0.2500], [0.6884, 0.3116, 0.7500]]
}

{
  "formula": "BaPrAu2",
  "functional": "GGA-PBE",
  "state": "optimized geometry",
  "dos_ef_per_ev_fu": 2.77,
  "formation_enthalpy_0k_ev_per_atom": -0.65,
  "spacegroup": "R-3m",
  "cell": [[2.2621, 1.3060, 7.5477], [-2.2621, 1.3060, 7.5477], [0.0000, -2.6120, 7.5477]],
  "species": ["Ba", "Pr", "Au", "Au"],
  "frac_coords": [[0.0000, 0.0000, 0.0000], [0.5000, 0.5000, 0.5000], [0.2388, 0.2388, 0.2388], [0.7612, 0.7612, 0.7612]]
}

{
  "formula": "BaPrAu",
  "functional": "GGA-PBE",
  "state": "optimized geometry",
  "polymorph_energy_mev_per_atom": 185.1,
  "dos_ef_per_ev_fu": 2.87,
  "formation_enthalpy_0k_ev_per_atom": -0.31,
  "spacegroup": "P3m1",
  "cell": [[5.1128, 0.0000, 0.0000], [-2.5564, 4.4278, 0.0000], [0.0000, 0.0000, 4.8672]],
  "species": ["Ba", "Pr", "Au"],
  "frac_coords": [[0.0000, 0.0000, 0.0000], [0.3333, 0.6667, 0.4830], [0.6667, 0.3333, 0.5819]]
}

{
  "formula": "BaPrPtAu",
  "functional": "GGA-PBE",
  "state": "optimized geometry",
  "dos_ef_per_ev_fu": 4.15,
  "formation_enthalpy_0k_ev_per_atom": -0.67,
  "spacegroup": "F-43m",
  "cell": [[0.0000, 3.8014, 3.8014], [3.8014, 0.0000, 3.8014], [3.8014, 3.8014, 0.0000]],
  "species": ["Ba", "Pr", "Pt", "Au"],
  "frac_coords": [[0.0000, 0.0000, 0.0000], [0.5000, 0.5000, 0.5000], [0.7500, 0.7500, 0.7500], [0.2500, 0.2500, 0.2500]]
}

{
  "formula": "BaPrRhAu",
  "functional": "GGA-PBE",
  "state": "optimized geometry",
  "dos_ef_per_ev_fu": 1.16,
  "formation_enthalpy_0k_ev_per_atom": -0.43,
  "spacegroup": "F-43m",
  "cell": [[0.0000, 3.7640, 3.7640], [3.7640, 0.0000, 3.7640], [3.7640, 3.7640, 0.0000]],
  "species": ["Ba", "Pr", "Rh", "Au"],
  "frac_coords": [[0.0000, 0.0000, 0.0000], [0.5000, 0.5000, 0.5000], [0.2500, 0.2500, 0.2500], [0.7500, 0.7500, 0.7500]]
}

{
  "formula": "Ba2PrSi3Au12",
  "functional": "GGA-PBE",
  "state": "optimized geometry",
  "formation_energy_uncorrected_ev_per_atom": -0.213,
  "dos_ef_per_ev_fu": 5.76,
  "spacegroup": "R-3m",
  "cell": [[4.4478, 2.5679, 6.9415], [-4.4478, 2.5679, 6.9415], [0.0000, -5.1359, 6.9415]],
  "species": ["Ba", "Ba", "Pr", "Si", "Si", "Si", "Au", "Au", "Au", "Au", "Au", "Au", "Au", "Au", "Au", "Au", "Au", "Au"],
  "frac_coords": [[0.1019, 0.1019, 0.1019], [0.8981, 0.8981, 0.8981], [0.5000, 0.5000, 0.5000], [0.0000, 0.5000, 0.5000], [0.5000, 0.0000, 0.5000], [0.5000, 0.5000, 0.0000], [0.0902, 0.6329, 0.6329], [0.1850, 0.1850, 0.6296], [0.1850, 0.6296, 0.1850], [0.3671, 0.3671, 0.9098], [0.3671, 0.9098, 0.3671], [0.3704, 0.8150, 0.8150], [0.6296, 0.1850, 0.1850], [0.6329, 0.0902, 0.6329], [0.6329, 0.6329, 0.0902], [0.8150, 0.3704, 0.8150], [0.8150, 0.8150, 0.3704], [0.9098, 0.3671, 0.3671]]
}

{
  "formula": "BaPrSn2Au2",
  "functional": "GGA-PBE",
  "state": "optimized geometry",
  "dos_ef_per_ev_fu": 3.40,
  "formation_enthalpy_0k_ev_per_atom": -0.76,
  "spacegroup": "P-3m1",
  "cell": [[4.8594, 0.0000, 0.0000], [-2.4297, 4.2084, 0.0000], [0.0000, 0.0000, 8.4869]],
  "species": ["Ba", "Pr", "Sn", "Sn", "Au", "Au"],
  "frac_coords": [[0.0000, 0.0000, 0.0000], [0.0000, 0.0000, 0.5000], [0.3333, 0.6667, 0.7158], [0.6667, 0.3333, 0.2842], [0.3333, 0.6667, 0.3050], [0.6667, 0.3333, 0.6950]]
}

{
  "formula": "BaPrTe3Au",
  "functional": "GGA-PBE",
  "state": "optimized geometry",
  "formation_energy_uncorrected_ev_per_atom": -1.240,
  "spacegroup": "P2_1/m",
  "cell": [[9.3728, 0.0000, 0.0000], [0.0000, 4.5736, 0.0000], [-2.5407, 0.0000, 9.9687]],
  "species": ["Ba", "Ba", "Pr", "Pr", "Te", "Te", "Te", "Te", "Te", "Te", "Au", "Au"],
  "frac_coords": [[0.1957, 0.2500, 0.2532], [0.8043, 0.7500, 0.7468], [0.3192, 0.7500, 0.8344], [0.6808, 0.2500, 0.1656], [0.0917, 0.2500, 0.8698], [0.2372, 0.7500, 0.5193], [0.4384, 0.7500, 0.1605], [0.5616, 0.2500, 0.8395], [0.7628, 0.2500, 0.4807], [0.9083, 0.7500, 0.1302], [0.0983, 0.2500, 0.5982], [0.9017, 0.7500, 0.4018]]
}

{
  "formula": "BaPrTlAu",
  "functional": "GGA-PBE",
  "state": "optimized geometry",
  "dos_ef_per_ev_fu": 3.09,
  "formation_enthalpy_0k_ev_per_atom": -0.43,
  "spacegroup": "F-43m",
  "cell": [[0.0000, 3.9980, 3.9980], [3.9980, 0.0000, 3.9980], [3.9980, 3.9980, 0.0000]],
  "species": ["Ba", "Pr", "Tl", "Au"],
  "frac_coords": [[0.0000, 0.0000, 0.0000], [0.5000, 0.5000, 0.5000], [0.7500, 0.7500, 0.7500], [0.2500, 0.2500, 0.2500]]
}

{
  "formula": "BaPrZn2Au5",
  "functional": "GGA-PBE",
  "state": "optimized geometry",
  "dos_ef_per_ev_fu": 3.84,
  "formation_enthalpy_0k_ev_per_atom": -0.46,
  "spacegroup": "P4/mmm",
  "cell": [[4.7142, 0.0000, 0.0000], [0.0000, 4.7142, 0.0000], [0.0000, 0.0000, 9.3516]],
  "species": ["Ba", "Pr", "Zn", "Zn", "Au", "Au", "Au", "Au", "Au"],
  "frac_coords": [[0.0000, 0.0000, 0.0000], [0.0000, 0.0000, 0.5000], [0.5000, 0.5000, 0.3678], [0.5000, 0.5000, 0.6322], [0.0000, 0.5000, 0.2560], [0.0000, 0.5000, 0.7440], [0.5000, 0.0000, 0.2560], [0.5000, 0.0000, 0.7440], [0.5000, 0.5000, 0.0000]]
}

{
  "formula": "BaPt2Au2",
  "functional": "GGA-PBE",
  "state": "optimized geometry",
  "polymorph_energy_mev_per_atom": 12.7,
  "dos_ef_per_ev_fu": 2.50,
  "formation_enthalpy_0k_ev_per_atom": -0.35,
  "spacegroup": "I4/mmm",
  "cell": [[-2.2722, 2.2722, 11.3413], [2.2722, -2.2722, 11.3413], [2.2722, 2.2722, -11.3413]],
  "species": ["Ba", "Ba", "Pt", "Pt", "Pt", "Pt", "Au", "Au", "Au", "Au"],
  "frac_coords": [[0.1275, 0.1275, 0.0000], [0.8725, 0.8725, 0.0000], [0.2500, 0.7500, 0.5000], [0.4348, 0.4348, 0.0000], [0.5652, 0.5652, 0.0000], [0.7500, 0.2500, 0.5000], [0.0000, 0.5000, 0.5000], [0.3189, 0.3189, 0.0000], [0.5000, 0.0000, 0.5000], [0.6811, 0.6811, 0.0000]]
}

{
  "formula": "Ba2PtAu",
  "functional": "GGA-PBE",
  "state": "optimized geometry",
  "dos_ef_per_ev_fu": 1.93,
  "formation_enthalpy_0k_ev_per_atom": -0.74,
  "spacegroup": "P2_1/m",
  "cell": [[6.4799, 0.0000, 0.0000], [0.0000, 4.7992, 0.0000], [-3.1744, 0.0000, 8.3777]],
  "species": ["Ba", "Ba", "Ba", "Ba", "Pt", "Pt", "Au", "Au"],
  "frac_coords": [[0.2207, 0.2500, 0.4372], [0.2313, 0.2500, 0.9247], [0.7687, 0.7500, 0.0753], [0.7793, 0.7500, 0.5628], [0.3491, 0.7500, 0.7124], [0.6509, 0.2500, 0.2876], [0.3427, 0.7500, 0.2117], [0.6573, 0.2500, 0.7883]]
}

Table of V (Å³ per atom), in record order: 28.5, 33.4, 36.7, 27.5, 26.7, 26.4, 28.9, 35.6, 32.0, 23.1, 23.4, 32.6